[1]
CePmCd2: relaxed, PBE.

Computed properties:
The formation energy is -0.061 eV/atom. The total moment is 1.06 μB per formula unit.

a b c (Å): 3.5047 3.5047 31.9414
angles (deg): 90.00 90.00 120.00
Space group R-3m (No. 166, hexagonal axes)
Symmetry-distinct sites (fractional):
Ce 0.0000 0.0000 0.0000 [3 per cell]
Pm 0.0000 0.0000 0.5000 [3 per cell]
Cd 0.0000 0.0000 0.2495 [6 per cell]

[2]
CePm2Cd6: relaxed, PBE.

Computed properties:
The formation energy is -0.312 eV/atom. The total moment is 1.42 μB per formula unit.

a b c (Å): 8.8055 8.8055 3.3885
angles (deg): 90.00 90.00 120.00
Space group P6/mmm (No. 191)
Symmetry-distinct sites (fractional):
Ce 0.0000 0.0000 0.0000 [1 per cell]
Pm 0.3333 0.6667 0.0000 [2 per cell]
Cd 0.0000 0.3339 0.5000 [6 per cell]

[3]
CePm3Cd8: relaxed, PBE.

Computed properties:
The formation energy is -0.265 eV/atom. The total moment is 1.42 μB per formula unit.

a b c (Å): 6.0640 6.0640 9.4595
angles (deg): 90.00 90.00 120.00
Space group P3m1 (No. 156)
Symmetry-distinct sites (fractional):
Ce 0.0000 0.0000 0.0000 [1 per cell]
Pm 0.0000 0.0000 0.3760 [1 per cell]
Pm 0.6667 0.3333 0.4992 [1 per cell]
Pm 0.6667 0.3333 0.8816 [1 per cell]
Cd 0.1626 0.3252 0.6887 [3 per cell]
Cd 0.3333 0.6667 0.4394 [1 per cell]
Cd 0.3333 0.6667 0.9396 [1 per cell]
Cd 0.5041 0.0081 0.1902 [3 per cell]

[4]
CePm2Cd3: relaxed, PBE.

Computed properties:
The formation energy is -0.250 eV/atom. The total moment is 2.23 μB per formula unit.

a b c (Å): 3.808 3.808 11.645
angles (deg): 90.00 90.00 90.00
Space group P4/mmm (No. 123)
Symmetry-distinct sites (fractional):
Ce 0.000 0.000 0.000 [1 per cell]
Pm 0.000 0.000 0.335 [2 per cell]
Cd 0.500 0.500 0.171 [2 per cell]
Cd 0.500 0.500 0.500 [1 per cell]

[5]
CePm3Cd4: relaxed, PBE.

Computed properties:
The formation energy is -0.267 eV/atom. The total moment is 2.68 μB per formula unit.

a b c (Å): 3.817 3.817 15.447
angles (deg): 90.00 90.00 90.00
Space group P4/mmm (No. 123)
Symmetry-distinct sites (fractional):
Ce 0.000 0.000 0.000 [1 per cell]
Pm 0.000 0.000 0.252 [2 per cell]
Pm 0.000 0.000 0.500 [1 per cell]
Cd 0.500 0.500 0.128 [2 per cell]
Cd 0.500 0.500 0.376 [2 per cell]

[6]
CePm5Cd4: relaxed, PBE.

Computed properties:
The formation energy is -0.223 eV/atom. The total moment is 0.90 μB per formula unit.

a b c (Å): 3.741 3.741 20.466
angles (deg): 90.00 90.00 90.00
Space group P4/mmm (No. 123)
Symmetry-distinct sites (fractional):
Ce 0.000 0.000 0.000 [1 per cell]
Pm 0.500 0.500 0.112 [2 per cell]
Pm 0.500 0.500 0.307 [2 per cell]
Pm 0.500 0.500 0.500 [1 per cell]
Cd 0.000 0.000 0.209 [2 per cell]
Cd 0.000 0.000 0.404 [2 per cell]